1.
A plane-wave DFT calculation with PBE-GGA was carried out for an optimized crystal structure of Y3Er7In.

Results
The size of the total moment is 0.0 Bohr magnetons per cell. Its electronic total energy is -52.7 eV per cell. For the formation enthalpy at 0 K, the calculation gives 0.123 eV/atom.

abc: 6.9133 6.9133 8.4739
angles: 90.00 90.00 120.00
Space group P3m1 (No. 156)
Asymmetric unit:
Y (0.1672, 0.3344, 0.0000) x3
Er (0.0061, 0.5030, 0.3381) x3
Er (0.3305, 0.1652, 0.6583) x3
Er (0.3333, 0.6667, 0.6699) x1
In (0.0000, 0.0000, 0.3343) x1

---

2.
A plane-wave DFT calculation with PBE-GGA was carried out for an optimized crystal structure of Y6Er8In.

Results
The size of the total moment is 0.0 Bohr magnetons per cell. Its electronic total energy is -75.1 eV per cell. For the formation enthalpy at 0 K, the calculation gives 0.193 eV/atom.

abc: 9.1401 9.1401 6.6720
angles: 90.00 90.00 120.00
Space group P-3 (No. 147)
Asymmetric unit:
Y (0.0844, 0.6832, 0.3959) x6
Er (0.0120, 0.3250, 0.1105) x6
Er (0.3333, 0.6667, 0.8253) x2
In (0.0000, 0.0000, 0.5000) x1